An optimized crystal structure of TlCrB2, computed with PBE.

Geometry as POSCAR:
```
TlCrB2
1.0
-1.8151 4.6140 1.9569
-4.2690 -2.5137 1.9672
-0.8302 0.2942 5.7960
Tl B Cr
2 4 2
direct
0.0000 0.0000 0.0000
0.7500 0.2500 0.5000
0.3750 0.4506 0.7500
0.5494 0.1250 0.2500
0.2006 0.6250 0.2500
0.8750 0.7994 0.7500
0.2500 0.7500 0.5000
0.5000 0.5000 0.0000
```

Summary:
- Magnetic moment: 0.0 μB per formula unit
- E above lowest polymorph: 0.000 eV per atom